# 1
Here is ErZrC2 after structural relaxation from Alexandria. Energies are from GGA-PBE.

Cell and atoms, written as extended XYZ:
```
8
Lattice="3.501 0.000 0.000 0.000 5.399 0.000 0.000 0.000 6.080" Properties=species:S:1:pos:R:3 pbc="T T T"
C 2.626 2.778 4.650
Er 0.875 1.350 3.578
C 0.875 0.079 1.430
C 2.626 5.320 4.650
C 0.875 2.621 1.430
Zr 2.626 1.350 0.467
Er 2.626 4.049 2.502
Zr 0.875 4.049 5.613
```

Values from the calculation:
energy above the lowest structure with this stoichiometry	21.9	kJ/mol of formula units

# 2
Here is ScMnMo2 after structural relaxation from Alexandria. Energies are from GGA-PBE.

Cell and atoms, written as extended XYZ:
```
4
Lattice="2.702 0.000 0.000 0.000 4.573 0.000 0.000 0.000 5.307" Properties=species:S:1:pos:R:3 pbc="T T T"
Mn 1.351 2.286 3.981
Mo 0.000 0.000 5.281
Mo 0.000 0.000 2.680
Sc 1.351 2.286 1.327
```

Values from the calculation:
energy above the lowest structure with this stoichiometry	106.5	kJ/mol of formula units

# 3
Here is HoCuNiAg after structural relaxation from Alexandria. Energies are from GGA-PBE.

Cell and atoms, written as extended XYZ:
```
4
Lattice="-3.816 -0.204 -2.520 -2.570 -3.788 0.040 -4.097 0.034 2.042" Properties=species:S:1:pos:R:3 pbc="T T T"
Ho -5.241 -1.979 -0.219
Ni -7.862 -2.968 -0.329
Ag 0.000 0.000 0.000
Cu -2.621 -0.989 -0.110
```

# 4
Here is MgAl3Ir after structural relaxation from Alexandria. Energies are from GGA-PBE.

Cell and atoms, written as extended XYZ:
```
20
Lattice="-2.654 -1.305 -2.467 5.822 -4.720 -3.766 -2.294 -8.300 6.858" Properties=species:S:1:pos:R:3 pbc="T T T"
Mg 0.246 -1.229 -1.118
Mg -1.211 -6.856 0.419
Mg 2.085 -7.470 0.205
Ir -0.254 -3.744 -2.255
Ir 2.123 -8.036 -2.542
Al 2.934 -11.204 1.267
Mg 0.628 -13.097 1.743
Al 0.177 -8.287 2.690
Al 2.225 -10.332 -1.438
Al 3.630 -6.004 -2.232
Al -1.351 -3.993 2.063
Al -1.446 -10.725 2.719
Al -2.060 -3.122 -0.642
Ir 1.128 -10.581 2.880
Al -2.756 -8.321 2.857
Al 2.320 -3.601 -2.095
Al 0.697 -6.039 -2.065
Al 0.310 -10.121 0.511
Ir -1.249 -6.289 3.167
Al 0.564 -4.205 0.114
```

Values from the calculation:
energy above the lowest structure with this stoichiometry	0.0	kJ/mol of formula units

| no. | formation energy from the elements (meV per atom) | E_tot (eV per cell) | ρ (g/cm3) |
| --- | --- | --- | --- |
| 1 | -373 | -66.1 | 8.16 |
| 2 | 327 | -35.9 | 7.39 |
| 3 | -159 | -17.9 | 9.67 |
| 4 | -449 | -95.7 | 5.56 |